A geometry-optimized BaTl2GeTe4 structure, computed with PBE.

Results
formation energy (no corrections)	-3.5	eV per formula unit
uncorrected energy	-3.423	eV/atom

abc: 9.2607 9.6240 12.7386
angles: 90.00 90.00 90.00
With the nearest neighbours (Å) after each atom.
Space group Imma (No. 74)
One atom of each set of equivalent atoms:
Ba: 0.0000 0.0000 0.0000 [4 per cell]  6 Te 3.37-3.43
Tl: 0.0000 0.0000 0.5000 [4 per cell]  6 Te 3.03-3.26
Tl: 0.2500 0.2500 0.2500 [4 per cell]  6 Te 3.33-3.57
Ge: 0.2500 0.2500 0.7500 [4 per cell]  6 Te 3.05-3.13
Te: 0.0000 0.0315 0.7369 [8 per cell]  1 Tl 3.03, 2 Ge 3.13, 1 Ba 3.37
Te: 0.2367 0.2500 0.5110 [8 per cell]  1 Ge 3.05, 3 Tl 3.26-3.33


A geometry-optimized Ba2TmGeTe5 structure, computed with PBE.

Results
formation energy (no corrections)	-10.8	eV per formula unit
uncorrected energy	-4.380	eV/atom

abc: 4.7168 20.3937 13.7743
angles: 90.00 90.00 90.00
With the nearest neighbours (Å) after each atom.
Space group Cmc2_1 (No. 36)
One atom of each set of equivalent atoms:
Ba: 0.0000 0.1208 0.0000 [4 per cell]  7 Te 3.49-3.73
Ba: 0.0000 0.1233 0.6320 [4 per cell]  7 Te 3.51-3.93
Tm: 0.0000 0.2069 0.3375 [4 per cell]  6 Te 2.97-3.20
Ge: 0.0000 0.4379 0.7558 [4 per cell]  4 Te 2.67-2.74
Te: 0.0000 0.0504 0.3557 [4 per cell]  2 Ge 2.74
Te: 0.0000 0.2945 0.9799 [4 per cell]  2 Tm 3.07
Te: 0.0000 0.3125 0.6854 [4 per cell]  1 Ge 2.73
Te: 0.0000 0.3517 0.3174 [4 per cell]  1 Tm 2.97
Te: 0.0000 0.4984 0.5839 [4 per cell]  1 Ge 2.67


Per-record calculated volume, Å³ per cell: 1135.3 1325.0